# PBE PrNd3SmSc, relaxed
# - E (eV per atom) = -4.925
# - energy of formation from the pure elements (meV per atom) = 97.6
# - total magnetic moment (μB/cell) = 0.0
data_PrNd3SmSc
_chemical_formula_sum 'Pr2 Nd6 Sm2 Sc2'
_cell_length_a 5.793
_cell_length_b 6.602
_cell_length_c 11.658
_cell_angle_alpha 90.00
_cell_angle_beta 90.00
_cell_angle_gamma 116.02
_space_group_name_H-M_alt 'P 1'
_space_group_IT_number 1
_space_group_name_Hall 'P 1'
loop_
_atom_site_label
_atom_site_type_symbol
_atom_site_fract_x
_atom_site_fract_y
_atom_site_fract_z
_atom_site_occupancy
Pr1 Pr 0.000 0.000 0.500 1
Nd1 Nd 0.679 0.357 0.530 1
Nd2 Nd 0.321 0.643 0.030 1
Nd3 Nd 0.174 0.347 0.750 1
Sc1 Sc 0.854 0.708 0.750 1
Sm1 Sm 0.474 0.947 0.750 1
Sc2 Sc 0.146 0.292 0.250 1
Sm2 Sm 0.526 0.053 0.250 1
Pr2 Pr 0.000 0.000 0.000 1
Nd4 Nd 0.321 0.643 0.470 1
Nd5 Nd 0.679 0.357 0.970 1
Nd6 Nd 0.826 0.653 0.250 1